(1)
# NdGdYTh | Alexandria via LeMat-Bulk | PBE | relaxed
data_NdGdYTh
_chemical_formula_sum 'Nd1 Gd1 Y1 Th1'
_symmetry_space_group_name_H-M 'P 1'
_symmetry_Int_Tables_number 1
_cell_length_a 5.734
_cell_length_b 5.734
_cell_length_c 5.734
_cell_angle_alpha 60.00
_cell_angle_beta 60.00
_cell_angle_gamma 60.00
loop_
_symmetry_equiv_pos_as_xyz
'x,y,z'
loop_
_atom_site_label
_atom_site_type_symbol
_atom_site_fract_x
_atom_site_fract_y
_atom_site_fract_z
_atom_site_occupancy
Gd1 Gd 0.750 0.750 0.750 1
Nd1 Nd 0.250 0.250 0.250 1
Y1 Y 0.500 0.500 0.500 1
Th1 Th 0.000 0.000 0.000 1
# Raw total energy in eV per atom: -8.002
# Volume in Å³/cell: 133.3



(2)
# NdGdThZr | Alexandria via LeMat-Bulk | PBE | relaxed
data_NdGdThZr
_chemical_formula_sum 'Nd1 Gd1 Th1 Zr1'
_symmetry_space_group_name_H-M 'P 1'
_symmetry_Int_Tables_number 1
_cell_length_a 5.538
_cell_length_b 5.538
_cell_length_c 5.538
_cell_angle_alpha 60.00
_cell_angle_beta 60.00
_cell_angle_gamma 60.00
loop_
_symmetry_equiv_pos_as_xyz
'x,y,z'
loop_
_atom_site_label
_atom_site_type_symbol
_atom_site_fract_x
_atom_site_fract_y
_atom_site_fract_z
_atom_site_occupancy
Gd1 Gd 0.500 0.500 0.500 1
Th1 Th 0.000 0.000 0.000 1
Zr1 Zr 0.250 0.250 0.250 1
Nd1 Nd 0.750 0.750 0.750 1
# Raw total energy in eV per atom: -8.495
# Volume in Å³/cell: 120.1



Number 1: E_form 181 meV/atom. Number 2: E_form 210 meV/atom.